# CdGeBr2F

A PBEsol-optimized structure of CdGeBr2F (SCAN, Alexandria via LeMat-Bulk).

Unit cell a=5.1636 b=5.1636 c=5.4197 alpha=90.00 beta=90.00 gamma=90.00
Each line ends with the local moment (μB).
Fractional positions:
1 Br 0.0000 0.5000 0.0000  0.04
2 Br 0.5000 0.0000 0.0000  0.04
3 F 0.5000 0.5000 0.5000  0.07
4 Ge 0.0000 0.0000 0.5000  0.07
5 Cd 0.0000 0.0000 0.0000  0.02

Results
ΔE_f (raw) = 0.047 eV/atom
M_tot = 0.06 μB/atom
Energy = -18.345 eV/atom
Space-group type = P4/mmm